Record 1
Below is an optimized crystal structure of KSrW2, with properties calculated at the PBE level.

The formation enthalpy at 0 K comes out at 1.287 eV per atom. The value obtained for the density of states at the Fermi level is 2.53 states/eV/f.u. The calculation puts the spin magnetization at 0.00 μB/cell. As for the total DFT energy (no corrections): -5.88 eV/atom.

It has space group P2/m (No. 10), with a = 3.2287 Å, b = 5.9011 Å, c = 7.5241 Å, α = 90.00°, β = 98.87° and γ = 90.00°. The distinct sites, in fractional coordinates, are K at (0.0000, 0.0000, 0.0000), Sr at (0.5000, 0.0000, 0.5000) and W at (0.2859, 0.5000, 0.6204).

Record 2
Below is an optimized crystal structure of HgSe4Cl, with properties calculated at the PBE level.

The value obtained for the density of states at the Fermi level is 8.85 states/eV/f.u. The calculation puts the spin magnetization at 0.01 μB/cell. As for the total DFT energy (no corrections): -2.27 eV/atom.

It has space group F-43m (No. 216), with a = 8.2180 Å, b = 8.2180 Å, c = 8.2180 Å, α = 90.00°, β = 90.00° and γ = 90.00°. The distinct sites, in fractional coordinates, are Hg at (0.0000, 0.0000, 0.0000), Se at (0.1329, 0.1329, 0.6329) and Cl at (0.2500, 0.2500, 0.2500).

Record 3
Below is an optimized crystal structure of HgTe2Pt, with properties calculated at the PBE level.

The value obtained for the density of states at the Fermi level is 1.06 states/eV/f.u. The calculation puts the spin magnetization at 0.00 μB/cell. As for the total DFT energy (no corrections): -3.33 eV/atom.

It has space group Pnma (No. 62), with a = 7.5924 Å, b = 7.7666 Å, c = 8.7029 Å, α = 90.00°, β = 90.00° and γ = 90.00°. The distinct sites, in fractional coordinates, are Hg at (0.0901, 0.2500, 0.0726), Te at (0.0348, 0.5255, 0.3102) and Pt at (0.2071, 0.2500, 0.7715).

Record 4
Below is an optimized crystal structure of TiTcAgRh2, with properties calculated at the PBE level.

The formation enthalpy at 0 K comes out at 1.847 eV per atom. The value obtained for the density of states at the Fermi level is 9.42 states/eV/f.u. The calculation puts the spin magnetization at 0.46 μB/cell. As for the total DFT energy (no corrections): -5.32 eV/atom.

It has space group P4/mmm (No. 123), with a = 4.7370 Å, b = 4.7370 Å, c = 4.6667 Å, α = 90.00°, β = 90.00° and γ = 90.00°. The distinct sites, in fractional coordinates, are Ti at (0.0000, 0.0000, 0.0000), Tc at (0.5000, 0.5000, 0.0000), Ag at (0.5000, 0.5000, 0.5000) and Rh at (0.0000, 0.5000, 0.5000).

Record 5
Below is an optimized crystal structure of NaIrO4, with properties calculated at the PBE level.

The value obtained for the density of states at the Fermi level is 3.20 states/eV/f.u. The calculation puts the spin magnetization at 0.00 μB/cell. As for the total DFT energy (no corrections): -5.80 eV/atom.

It has space group C2/c (No. 15), with a = 7.3113 Å, b = 11.8170 Å, c = 4.9931 Å, α = 90.00°, β = 129.11° and γ = 90.00°. The distinct sites, in fractional coordinates, are Na at (0.0000, 0.1539, 0.2500), Ir at (0.0000, 0.4197, 0.7500), O at (0.1792, 0.4509, 0.2345) and O at (0.2005, 0.3183, 0.7869).

Record 6
Below is an optimized crystal structure of Al2Hg, with properties calculated at the PBE level.

The formation enthalpy at 0 K comes out at 0.202 eV per atom. The value obtained for the density of states at the Fermi level is 1.04 states/eV/f.u. The calculation puts the spin magnetization at 0.00 μB/cell. As for the total DFT energy (no corrections): -2.39 eV/atom.

It has space group P4/mmm (No. 123), with a = 3.9022 Å, b = 3.9022 Å, c = 4.2488 Å, α = 90.00°, β = 90.00° and γ = 90.00°. The distinct sites, in fractional coordinates, are Al at (0.0000, 0.5000, 0.0000) and Hg at (0.0000, 0.0000, 0.5000).

Record 7
Below is an optimized crystal structure of Ca3ScTi, with properties calculated at the PBE level.

The formation enthalpy at 0 K comes out at 0.890 eV per atom. The value obtained for the density of states at the Fermi level is 6.33 states/eV/f.u. The calculation puts the spin magnetization at 0.00 μB/cell. As for the total DFT energy (no corrections): -3.16 eV/atom.

It has space group Pm-3m (No. 221), with a = 5.5761 Å, b = 5.5761 Å, c = 5.5761 Å, α = 90.00°, β = 90.00° and γ = 90.00°. The distinct sites, in fractional coordinates, are Ca at (0.0000, 0.0000, 0.5000), Sc at (0.5000, 0.5000, 0.5000) and Ti at (0.0000, 0.0000, 0.0000).

Record 8
Below is an optimized crystal structure of LaBe4Pd8, with properties calculated at the PBE level.

The formation enthalpy at 0 K comes out at -0.514 eV per atom. The value obtained for the density of states at the Fermi level is 5.58 states/eV/f.u. The calculation puts the spin magnetization at 0.00 μB/cell. As for the total DFT energy (no corrections): -5.23 eV/atom.

It has space group I4/mmm (No. 139), with a = 8.5352 Å, b = 8.5352 Å, c = 5.1400 Å, α = 90.00°, β = 90.00° and γ = 90.00°. The distinct sites, in fractional coordinates, are La at (0.0000, 0.0000, 0.0000), Be at (0.2500, 0.2500, 0.2500), Pd at (0.0000, 0.2266, 0.5000) and Pd at (0.0000, 0.3358, 0.0000).